(1)
VASP calculation (PBE-GGA) on an optimized crystal structure of FeHgCl.

Cell: 5.1329 5.1319 4.7954 Å, 62.16 62.14 55.70°
With the nearest neighbours (Å) after each atom.
Positions (direct):
1 Hg 0.3480 0.3480 0.6520  1 Fe 2.61
2 Cl 0.9658 0.9658 0.0342  1 Fe 2.15
3 Fe 0.6862 0.6862 0.3138  1 Cl 2.15

Space group: I4mm
Uncorrected formation energy (eV per formula unit): 1.4
ΔE to the lowest computed polymorph (eV/f.u.): 1.51
Magnetic moment (μB/cell): 3.10
Calculated volume (Å³/cell): 89

=====

(2)
VASP calculation (PBE-GGA) on an optimized crystal structure of Sm4Al.

Cell: 7.6198 7.6198 7.6198 Å, 105.46 105.46 117.83°
With the nearest neighbours (Å) after each atom.
Positions (direct):
1 Al 0.5000 0.5000 0.0000  8 Sm 2.96-3.19
2 Al 0.2500 0.7500 0.5000  8 Sm 2.96-3.19
3 Sm 0.6523 0.8406 0.8117  2 Al 2.96-3.19
4 Sm 0.5906 0.2790 0.6883  2 Al 2.96-3.19
5 Sm 0.1594 0.9710 0.8117  2 Al 2.96-3.19
6 Sm 0.1594 0.3477 0.1883  2 Al 2.96-3.19
7 Sm 0.0977 0.4094 0.6883  2 Al 2.96-3.19
8 Sm 0.0290 0.8406 0.1883  2 Al 2.96-3.19
9 Sm 0.7210 0.4094 0.3117  2 Al 2.96-3.19
10 Sm 0.5906 0.9023 0.3117  2 Al 2.96-3.19

Energy relative to the elements (eV/atom): 0.0733
Space group: I4_1/amd
ΔE to the lowest computed polymorph (eV/f.u.): 0.00
Magnetic moment (μB/cell): 0.00
Calculated volume (Å³/cell): 335

=====

(3)
VASP calculation (PBE-GGA) on an optimized crystal structure of NaPdF.

Cell: 3.0275 3.0276 11.1513 Å, 82.19 97.81 119.98°
With the nearest neighbours (Å) after each atom.
Positions (direct):
1 F 0.6379 0.7616 0.3738  1 Pd 2.14, 3 Na 2.17
2 F 0.7264 0.6733 0.6378  6 Na 2.21-2.38
3 Pd 0.1762 0.2238 0.9907  9 Pd 2.72-3.03
4 Pd 0.5727 0.8273 0.1798  1 F 2.14
5 Na 0.4342 0.9655 0.7613  3 F 2.21-2.22
6 Na 0.3437 0.0557 0.4913  6 F 2.17-2.38

Space group: R3m
Uncorrected formation energy (eV per formula unit): -4.2
ΔE to the lowest computed polymorph (eV/f.u.): 0.23
Magnetic moment (μB/cell): 0.86
Calculated volume (Å³/cell): 87

=====

(4)
VASP calculation (PBE-GGA) on an optimized crystal structure of KEuZn4.

Cell: 5.7762 5.7762 5.7762 Å, 60.00 60.00 60.00°
With the nearest neighbours (Å) after each atom.
Positions (direct):
1 Zn 0.6255 0.6255 0.6255  6 Zn 2.88-2.90
2 Zn 0.6255 0.6255 0.1235  6 Zn 2.88-2.90
3 Zn 0.1235 0.6255 0.6255  6 Zn 2.88-2.90
4 Zn 0.6255 0.1235 0.6255  6 Zn 2.88-2.90
5 Eu 0.0000 0.0000 0.0000  12 Zn 3.39, 4 K 3.54
6 K 0.2500 0.2500 0.2500  12 Zn 3.39, 4 Eu 3.54

Energy relative to the elements (eV/atom): -0.0214
Space group: F-43m
Magnetic moment (μB/cell): 7.74
Calculated volume (Å³/cell): 136

=====

(5)
VASP calculation (PBE-GGA) on an optimized crystal structure of Ta2FeRe.

Cell: 4.3595 2.7500 5.3324 Å, 80.42 90.00 90.00°
With the nearest neighbours (Å) after each atom.
Positions (direct):
1 Re 0.5000 0.7500 0.7500  4 Ta 2.71, 2 Re 2.75, 2 Fe 2.79
2 Fe 0.5000 0.2500 0.2500  4 Ta 2.70, 2 Fe 2.75, 2 Re 2.79
3 Ta 0.0000 0.0012 0.0009  2 Fe 2.70, 2 Re 2.71, 4 Ta 2.75-2.79
4 Ta 0.0000 0.4988 0.4991  2 Fe 2.70, 2 Re 2.71, 4 Ta 2.75-2.79

Energy relative to the elements (eV/atom): -0.0458
Space group: P2/m
Magnetic moment (μB/cell): 1.74
Calculated volume (Å³/cell): 63

=====

(6)
VASP calculation (PBE-GGA) on an optimized crystal structure of Ho3Si4Pt2.

Cell: 4.2372 5.5552 8.1798 Å, 105.63 90.00 112.42°
With the nearest neighbours (Å) after each atom.
Positions (direct):
1 Ho 0.6368 0.2736 0.6906  8 Si 2.91-3.18, 4 Pt 2.94-3.13
2 Ho 0.0000 0.0000 0.0000  8 Si 3.00-3.33, 4 Pt 3.34
3 Ho 0.3632 0.7264 0.3094  8 Si 2.91-3.18, 4 Pt 2.94-3.13
4 Pt 0.3493 0.6986 0.6867  3 Si 2.40-2.45
5 Pt 0.6507 0.3014 0.3133  3 Si 2.40-2.45
6 Si 0.0933 0.1866 0.4254  2 Pt 2.45, 1 Si 2.55
7 Si 0.9067 0.8134 0.5746  2 Pt 2.45, 1 Si 2.55
8 Si 0.2740 0.5480 0.9381  1 Pt 2.40, 2 Si 2.46
9 Si 0.7260 0.4520 0.0619  1 Pt 2.40, 2 Si 2.46

Space group: C2/m
Uncorrected formation energy (eV per formula unit): -9.1
Magnetic moment (μB/cell): 0.00
Calculated volume (Å³/cell): 170